{
  "formula": "Mo2Pb3",
  "functional": "PBE",
  "state": "relaxed",
  "relative_energy_mev_per_atom": 125.7,
  "delta_e_f_ev_per_atom": 0.63,
  "e_tot_ha_per_atom": -0.2179,
  "lattice_angstrom": [[4.919, 0.000, 0.000], [-2.459, 4.260, 0.000], [0.000, 0.000, 5.747]],
  "species": ["Mo", "Mo", "Pb", "Pb", "Pb"],
  "frac_coords": [[0.333, 0.667, 0.413], [0.667, 0.333, 0.587], [0.000, 0.000, 0.500], [0.333, 0.667, 0.896], [0.667, 0.333, 0.104]]
}

{
  "formula": "Mo2Pb",
  "functional": "PBE",
  "state": "relaxed",
  "relative_energy_mev_per_atom": 84.9,
  "delta_e_f_ev_per_atom": 0.59,
  "e_tot_ha_per_atom": -0.2891,
  "lattice_angstrom": [[1.689, -6.925, 0.000], [1.689, 6.925, 0.000], [0.000, 0.000, 4.752]],
  "species": ["Mo", "Mo", "Mo", "Mo", "Pb", "Pb"],
  "frac_coords": [[0.087, 0.913, 0.750], [0.270, 0.730, 0.250], [0.730, 0.270, 0.750], [0.913, 0.087, 0.250], [0.407, 0.593, 0.750], [0.593, 0.407, 0.250]]
}

{
  "formula": "Mo2Pb3",
  "functional": "PBE",
  "state": "relaxed",
  "relative_energy_mev_per_atom": 0.0,
  "delta_e_f_ev_per_atom": 0.50,
  "e_tot_ha_per_atom": -0.2226,
  "lattice_angstrom": [[0.000, 10.090, 1.689], [7.330, 0.000, 1.689], [7.330, 10.090, 0.000]],
  "species": ["Mo", "Mo", "Mo", "Mo", "Pb", "Pb", "Pb", "Pb", "Pb", "Pb"],
  "frac_coords": [[0.216, 0.784, 0.324], [0.574, 0.926, 0.466], [0.784, 0.216, 0.676], [0.926, 0.574, 0.034], [0.073, 0.073, 0.427], [0.452, 0.532, 0.261], [0.495, 0.989, 0.718], [0.532, 0.452, 0.755], [0.823, 0.823, 0.177], [0.989, 0.495, 0.798]]
}

{
  "formula": "Mo4Pb",
  "functional": "PBE",
  "state": "relaxed",
  "relative_energy_mev_per_atom": 0.0,
  "delta_e_f_ev_per_atom": 2.21,
  "e_tot_ha_per_atom": -0.2644,
  "lattice_angstrom": [[-3.020, 3.020, 3.020], [3.020, -3.020, 3.020], [3.020, 3.020, -3.020]],
  "species": ["Mo", "Mo", "Mo", "Mo", "Pb"],
  "frac_coords": [[0.000, 0.000, 0.500], [0.000, 0.500, 0.000], [0.500, 0.000, 0.000], [0.500, 0.500, 0.500], [0.000, 0.000, 0.000]]
}

{
  "formula": "MoPb3",
  "functional": "PBE",
  "state": "relaxed",
  "relative_energy_mev_per_atom": 30.2,
  "delta_e_f_ev_per_atom": 0.49,
  "e_tot_ha_per_atom": -0.1838,
  "lattice_angstrom": [[-1.618, 2.382, 7.051], [1.618, -2.382, 7.051], [1.618, 2.382, -7.051]],
  "species": ["Mo", "Pb", "Pb", "Pb"],
  "frac_coords": [[0.000, 0.000, 0.000], [0.183, 0.683, 0.500], [0.500, 0.500, 0.000], [0.817, 0.317, 0.500]]
}

{
  "formula": "MoPb3",
  "functional": "PBE",
  "state": "relaxed",
  "relative_energy_mev_per_atom": 273.0,
  "delta_e_f_ev_per_atom": 0.73,
  "e_tot_ha_per_atom": -0.1748,
  "lattice_angstrom": [[6.707, 0.000, 0.000], [-3.354, 5.809, 0.000], [0.000, 0.000, 10.998]],
  "species": ["Mo", "Mo", "Mo", "Mo", "Pb", "Pb", "Pb", "Pb", "Pb", "Pb", "Pb", "Pb", "Pb", "Pb", "Pb", "Pb"],
  "frac_coords": [[0.000, 0.000, 0.000], [0.000, 0.000, 0.500], [0.333, 0.667, 0.250], [0.667, 0.333, 0.750], [0.000, 0.500, 0.000], [0.000, 0.500, 0.500], [0.160, 0.320, 0.750], [0.160, 0.840, 0.750], [0.320, 0.160, 0.250], [0.500, 0.000, 0.000], [0.500, 0.000, 0.500], [0.500, 0.500, 0.000], [0.500, 0.500, 0.500], [0.680, 0.840, 0.750], [0.840, 0.160, 0.250], [0.840, 0.680, 0.250]]
}

{
  "formula": "Mo3Pb5",
  "functional": "PBE",
  "state": "relaxed",
  "delta_e_f_ev_per_atom": 0.91,
  "e_tot_ha_per_atom": -0.2011,
  "lattice_angstrom": [[3.650, -4.855, 0.000], [3.650, 4.855, 0.000], [0.000, 0.000, 5.066]],
  "species": ["Mo", "Mo", "Mo", "Pb", "Pb", "Pb", "Pb", "Pb"],
  "frac_coords": [[0.000, 0.000, 0.000], [0.247, 0.753, 0.500], [0.753, 0.247, 0.500], [0.000, 0.500, 0.000], [0.227, 0.227, 0.500], [0.500, 0.000, 0.000], [0.500, 0.500, 0.000], [0.773, 0.773, 0.500]]
}

{
  "formula": "MoPb3",
  "functional": "PBE",
  "state": "relaxed",
  "relative_energy_mev_per_atom": 280.0,
  "delta_e_f_ev_per_atom": 0.74,
  "e_tot_ha_per_atom": -0.1746,
  "lattice_angstrom": [[3.487, -4.364, 0.000], [3.487, 4.364, 0.000], [0.000, 0.000, 3.435]],
  "species": ["Mo", "Pb", "Pb", "Pb"],
  "frac_coords": [[0.000, 0.000, 0.000], [0.000, 0.500, 0.500], [0.500, 0.000, 0.500], [0.500, 0.500, 0.000]]
}

{
  "formula": "Mo5Pb",
  "functional": "PBE",
  "state": "relaxed",
  "relative_energy_mev_per_atom": 0.0,
  "delta_e_f_ev_per_atom": 0.29,
  "e_tot_ha_per_atom": -0.3437,
  "lattice_angstrom": [[5.064, -1.622, 0.000], [5.064, 1.622, 0.000], [-2.091, 0.000, 6.213]],
  "species": ["Mo", "Mo", "Mo", "Mo", "Mo", "Pb"],
  "frac_coords": [[0.000, 0.000, 0.000], [0.324, 0.324, 0.676], [0.328, 0.328, 0.151], [0.672, 0.672, 0.849], [0.676, 0.676, 0.324], [0.000, 0.000, 0.500]]
}

{
  "formula": "Mo3Pb4",
  "functional": "PBE",
  "state": "relaxed",
  "relative_energy_mev_per_atom": 0.0,
  "delta_e_f_ev_per_atom": 0.46,
  "e_tot_ha_per_atom": -0.2315,
  "lattice_angstrom": [[-1.618, 1.618, 15.972], [1.618, -1.618, 15.972], [1.618, 1.618, -15.972]],
  "species": ["Mo", "Mo", "Mo", "Pb", "Pb", "Pb", "Pb"],
  "frac_coords": [[0.000, 0.000, 0.000], [0.270, 0.270, 0.000], [0.730, 0.730, 0.000], [0.165, 0.165, 0.000], [0.436, 0.436, 0.000], [0.564, 0.564, 0.000], [0.835, 0.835, 0.000]]
}

{
  "formula": "Mo2Pb",
  "functional": "PBE",
  "state": "relaxed",
  "relative_energy_mev_per_atom": 926.5,
  "delta_e_f_ev_per_atom": 1.43,
  "e_tot_ha_per_atom": -0.2582,
  "lattice_angstrom": [[6.547, 0.000, 0.000], [0.000, 6.547, 0.000], [0.000, 0.000, 6.547]],
  "species": ["Mo", "Mo", "Mo", "Mo", "Mo", "Mo", "Mo", "Mo", "Pb", "Pb", "Pb", "Pb"],
  "frac_coords": [[0.098, 0.098, 0.098], [0.098, 0.402, 0.598], [0.402, 0.598, 0.098], [0.402, 0.902, 0.598], [0.598, 0.098, 0.402], [0.598, 0.402, 0.902], [0.902, 0.598, 0.402], [0.902, 0.902, 0.902], [0.000, 0.000, 0.500], [0.000, 0.500, 0.000], [0.500, 0.000, 0.000], [0.500, 0.500, 0.500]]
}

{
  "formula": "MoPb3",
  "functional": "PBE",
  "state": "relaxed",
  "relative_energy_mev_per_atom": 264.1,
  "delta_e_f_ev_per_atom": 0.72,
  "e_tot_ha_per_atom": -0.1752,
  "lattice_angstrom": [[6.632, 0.000, 0.000], [-3.316, 5.743, 0.000], [0.000, 0.000, 5.563]],
  "species": ["Mo", "Mo", "Pb", "Pb", "Pb", "Pb", "Pb", "Pb"],
  "frac_coords": [[0.333, 0.667, 0.250], [0.667, 0.333, 0.750], [0.173, 0.347, 0.750], [0.173, 0.827, 0.750], [0.347, 0.173, 0.250], [0.653, 0.827, 0.750], [0.827, 0.173, 0.250], [0.827, 0.653, 0.250]]
}